Record 1
A plane-wave DFT calculation with PBE was carried out for crystalline MgFe4 at its relaxed geometry.

## Properties
The formation enthalpy at 0 K comes out at 0.317 eV/atom. Its relative energy among the computed polymorphs is 0.1291 eV per atom. The total DFT energy (no corrections) is -6.7725 eV/atom. The total moment is 0.821 μB/atom. Its crystal system is tetragonal. For the density of states at the Fermi level, the calculation gives 4.41 states/eV/cell.

Unit cell a=5.3886 b=5.3886 c=5.3886 alpha=139.10 beta=139.10 gamma=59.23
Atoms (fractional coordinates):
Fe 0.7500 0.2500 0.5000
Fe 0.2500 0.7500 0.5000
Fe 0.3900 0.3900 0.0000
Fe 0.6100 0.6100 0.0000
Mg 0.0000 0.0000 0.0000



Record 2
A plane-wave DFT calculation with PBE was carried out for crystalline Er3TlCu8 at its relaxed geometry.

## Properties
The formation enthalpy at 0 K comes out at -0.196 eV/atom. The total DFT energy (no corrections) is -4.2648 eV/atom. The total moment is 0.000 μB/atom. Its crystal system is trigonal. For the density of states at the Fermi level, the calculation gives 6.98 states/eV/cell.

Unit cell a=5.1876 b=5.1876 c=8.4954 alpha=90.00 beta=90.00 gamma=120.01
Atoms (fractional coordinates):
Cu 0.3333 0.6667 0.0031
Cu 0.1661 0.8339 0.2461
Cu 0.3333 0.6667 0.5014
Cu 0.5000 0.5000 0.7555
Cu 0.9999 0.5000 0.7555
Cu 0.6677 0.8339 0.2461
Cu 0.1662 0.3323 0.2461
Cu 0.5000 0.0001 0.7555
Er 0.6667 0.3333 0.0658
Er 0.6667 0.3333 0.4503
Er 0.0000 0.0000 0.9232
Tl 0.0000 0.0000 0.5515



Record 3
A plane-wave DFT calculation with PBE was carried out for crystalline ScHg3Au at its relaxed geometry.

## Properties
The formation enthalpy at 0 K comes out at 0.368 eV/atom. Its relative energy among the computed polymorphs is 0.0000 eV per atom. The total DFT energy (no corrections) is -1.7354 eV/atom. The total moment is 0.191 μB/atom. Its crystal system is cubic. For the density of states at the Fermi level, the calculation gives 3.83 states/eV/cell.

Unit cell a=5.2406 b=5.2406 c=5.2406 alpha=90.00 beta=90.00 gamma=90.00
Atoms (fractional coordinates):
Hg 0.0000 0.0000 0.5000
Hg 0.5000 0.0000 0.0000
Hg 0.0000 0.5000 0.0000
Sc 0.5000 0.5000 0.5000
Au 0.0000 0.0000 0.0000



Record 4
A plane-wave DFT calculation with PBE was carried out for crystalline LiSn at its relaxed geometry.

## Properties
The formation enthalpy at 0 K comes out at 0.531 eV/atom. The total DFT energy (no corrections) is -2.4272 eV/atom. The total moment is 0.000 μB/atom. Its crystal system is cubic. For the density of states at the Fermi level, the calculation gives 13.73 states/eV/cell.

Unit cell a=7.5738 b=7.5738 c=7.5738 alpha=90.00 beta=90.00 gamma=90.00
Atoms (fractional coordinates):
Li 0.0000 0.5000 0.2500
Li 0.5000 0.2500 0.0000
Li 0.5000 0.7500 0.0000
Li 0.0000 0.5000 0.7500
Li 0.7500 0.0000 0.5000
Li 0.2500 0.0000 0.5000
Sn 0.0000 0.2500 0.5000
Sn 0.0000 0.7500 0.5000
Sn 0.2500 0.5000 0.0000
Sn 0.5000 0.0000 0.7500
Sn 0.5000 0.0000 0.2500
Sn 0.7500 0.5000 0.0000



Record 5
A plane-wave DFT calculation with PBE was carried out for crystalline Cs3Sc2F9 at its relaxed geometry.

## Properties
The total DFT energy (no corrections) is -5.7944 eV/atom. The total moment is 0.020 μB/atom. Its crystal system is trigonal. The calculation puts the formation energy from raw total energies at -3504 meV/atom. For the density of states at the Fermi level, the calculation gives 0.00 states/eV/cell.

Unit cell a=8.2843 b=8.2843 c=8.2843 alpha=86.69 beta=86.69 gamma=86.69
Atoms (fractional coordinates):
Sc 0.1480 0.1480 0.1480
Sc 0.3520 0.3520 0.3520
Sc 0.8520 0.8520 0.8520
Sc 0.6480 0.6480 0.6480
F 0.5892 0.7496 0.4385
F 0.4385 0.5892 0.7496
F 0.6176 0.8824 0.7500
F 0.0892 0.9385 0.2496
F 0.9108 0.0615 0.7504
F 0.4108 0.2504 0.5615
F 0.1176 0.2500 0.3824
F 0.9385 0.2496 0.0892
F 0.7496 0.4385 0.5892
F 0.7504 0.9108 0.0615
F 0.2504 0.5615 0.4108
F 0.0615 0.7504 0.9108
F 0.2500 0.3824 0.1176
F 0.2496 0.0892 0.9385
F 0.7500 0.6176 0.8824
F 0.5615 0.4108 0.2504
F 0.3824 0.1176 0.2500
F 0.8824 0.7500 0.6176
Cs 0.2500 0.9096 0.5904
Cs 0.4096 0.7500 0.0904
Cs 0.5904 0.2500 0.9096
Cs 0.9096 0.5904 0.2500
Cs 0.0904 0.4096 0.7500
Cs 0.7500 0.0904 0.4096



Record 6
A plane-wave DFT calculation with PBE was carried out for crystalline KCo2Ni at its relaxed geometry.

## Properties
The formation enthalpy at 0 K comes out at 0.864 eV/atom. Its relative energy among the computed polymorphs is 0.2609 eV per atom. The total DFT energy (no corrections) is -4.4089 eV/atom. The total moment is 1.020 μB/atom. Its crystal system is orthorhombic. For the density of states at the Fermi level, the calculation gives 4.39 states/eV/cell.

Unit cell a=5.7851 b=5.7851 c=5.7851 alpha=154.52 beta=128.37 gamma=58.43
Atoms (fractional coordinates):
K 0.7500 0.2500 0.5000
Co 0.0447 0.0447 0.0000
Co 0.4553 0.4553 0.0000
Ni 0.2500 0.7500 0.5000



Record 7
A plane-wave DFT calculation with PBE was carried out for crystalline Pa2AgH at its relaxed geometry.

## Properties
The total DFT energy (no corrections) is -6.3018 eV/atom. The total moment is 0.000 μB/atom. Its crystal system is trigonal. For the density of states at the Fermi level, the calculation gives 6.26 states/eV/cell.

Unit cell a=3.1750 b=3.1750 c=8.6585 alpha=79.44 beta=79.44 gamma=60.00
Atoms (fractional coordinates):
Ag 0.5000 0.5000 0.5000
Pa 0.7282 0.7282 0.8154
Pa 0.2718 0.2718 0.1846
H 0.0000 0.0000 0.0000



Record 8
A plane-wave DFT calculation with PBE was carried out for crystalline Ca3Pr2Pt4 at its relaxed geometry.

## Properties
The formation enthalpy at 0 K comes out at -0.974 eV/atom. The total DFT energy (no corrections) is -5.3884 eV/atom. The total moment is 0.000 μB/atom. Its crystal system is monoclinic. For the density of states at the Fermi level, the calculation gives 6.61 states/eV/cell.

Unit cell a=7.5160 b=7.8954 c=7.8652 alpha=90.00 beta=90.00 gamma=108.92
Atoms (fractional coordinates):
Ca 0.5000 0.5000 0.0000
Ca 0.2442 0.2504 0.6770
Ca 0.7558 0.7496 0.3230
Ca 0.2558 0.7496 0.1770
Ca 0.7442 0.2504 0.8230
Ca 0.0000 0.5000 0.5000
Pt 0.6297 0.5265 0.6312
Pt 0.6537 0.9264 0.0272
Pt 0.3463 0.0736 0.9728
Pt 0.8703 0.4735 0.1312
Pt 0.8463 0.0736 0.5272
Pt 0.1297 0.5265 0.8688
Pt 0.1537 0.9264 0.4728
Pt 0.3703 0.4735 0.3688
Pr 0.4339 0.8097 0.6816
Pr 0.0661 0.1903 0.1816
Pr 0.9339 0.8097 0.8184
Pr 0.5661 0.1903 0.3184



Look up the total DFT energy (no corrections) of the second one.
-4.2648 eV/atom